An optimized crystal structure of Rb2TlGeO4, computed with GGA-PBE.

a b c (Å): 6.0792 6.0792 6.0792
angles (deg): 93.09 118.23 118.23
Last column: magnetic moment on the atom in μB.
Positions (direct):
Rb 0.5000 0.7500 0.2500  0.00
Rb 0.0000 0.0000 0.0000  0.00
O 0.6588 0.4156 0.4714  0.07
O 0.9442 0.5286 0.1874  0.07
O 0.3412 0.8126 0.7568  0.07
O 0.0558 0.2432 0.5844  0.07
Ge 0.0000 0.5000 0.5000  0.01
Tl 0.5000 0.2500 0.7500  0.11

Total moment ... 0.0580 μB per atom
Crystal system ... tetragonal
Formation energy (no corrections) ... -1393.0 meV/atom